This record from Alexandria describes InTePO2 after structural relaxation. The functional is PBEsol.

POSCAR file:
```
InTePO2
1.0
-1.878 -3.399 1.025
3.398 -2.056 -0.595
1.349 0.773 5.035
P In O Te
1 1 2 1
direct
0.000 0.000 0.500
0.500 0.500 0.500
0.000 0.500 0.000
0.500 0.000 0.000
0.000 0.000 0.000
```

Values from the calculation:
space group = P4/mmm (123)
raw total energy = -4.938 eV/atom

This record from Alexandria describes CuIr after structural relaxation. The functional is PBEsol.

POSCAR file:
```
CuIr
1.0
2.668 0.000 0.000
0.000 4.337 0.000
0.000 0.000 4.480
Ir Cu
2 2
direct
0.000 0.500 0.927
0.500 0.000 0.073
0.500 0.500 0.429
0.000 0.000 0.571
```

Values from the calculation:
space group = Pmmn (59)
DFT formation energy = 101.8 meV/atom

Size of the total moment for every record listed, in sequence, given in μB/f.u.: 0.00; 0.00.